Entry 1:
Below is a relaxed LiAlRu4 crystal, with properties calculated at the PBE-GGA level.

Cell and atoms, written as extended XYZ:
```
6
Lattice="0.0000 3.5939 3.5939 3.5939 0.0000 3.5939 3.5939 3.5939 0.0000" Properties=species:S:1:pos:R:3 pbc="T T T"
Li 0.0000 0.0000 0.0000
Al 5.3909 5.3909 5.3909
Ru 2.6959 4.4920 4.4920
Ru 4.4920 4.4920 2.6959
Ru 4.4920 2.6959 4.4920
Ru 2.6959 2.6959 2.6959
```

energy: -6.842 eV per atom

---

Entry 2:
Below is a relaxed AgOs2Pt crystal, with properties calculated at the PBE-GGA level.

Cell and atoms, written as extended XYZ:
```
4
Lattice="-1.8222 -0.2298 -3.3903 0.1325 -2.7804 0.1173 -4.9098 -2.9101 2.8361" Properties=species:S:1:pos:R:3 pbc="T T T"
Os -0.0075 -2.7822 0.1926
Os -1.9954 -1.5331 -1.0163
Ag -4.4868 -4.3836 0.5160
Pt -2.3660 -2.8470 1.4647
```

energy: -7.512 eV per atom

---

Entry 3:
Below is a relaxed AlGa2Co2 crystal, with properties calculated at the PBE-GGA level.

Cell and atoms, written as extended XYZ:
```
10
Lattice="6.2911 0.0000 0.0000 0.0000 6.2911 0.0000 0.0000 0.0000 3.3735" Properties=species:S:1:pos:R:3 pbc="T T T"
Co 2.2166 5.3622 0.0000
Co 5.3622 4.0745 0.0000
Co 4.0745 0.9289 0.0000
Co 0.9289 2.2166 0.0000
Al 0.0000 0.0000 0.0000
Al 3.1456 3.1456 0.0000
Ga 0.9600 4.1055 1.6868
Ga 4.1055 5.3311 1.6868
Ga 5.3311 2.1856 1.6868
Ga 2.1856 0.9600 1.6868
```

energy: -5.030 eV per atom
energy relative to the lowest polymorph listed for this composition: 0 meV/atom